An optimized crystal structure of Li5Cu2Ni3O10. Source: Alexandria, functional PBE+U.

Values from the calculation:
Calculated volume   9.7 Å³/atom
DFT total energy   -95.73 eV/cell

Lattice parameters (Å, degrees): 5.4913 6.0106 6.4049 97.69 98.45 108.52
Space group P-1 (No. 2)
Inequivalent atoms, fractional coordinates:
Li (0.0000, 0.0000, 0.0000) [1 per cell]
Li (0.2570, 0.8930, 0.4320) [2 per cell]
Li (0.3543, 0.3157, 0.8059) [2 per cell]
Cu (0.4646, 0.7726, 0.7814) [2 per cell]
Ni (0.0000, 0.5000, 0.0000) [1 per cell]
Ni (0.1963, 0.4238, 0.4100) [2 per cell]
O (0.0365, 0.3860, 0.6861) [2 per cell]
O (0.1870, 0.9107, 0.7787) [2 per cell]
O (0.2555, 0.8342, 0.9872) [2 per cell]
O (0.2973, 0.3703, 0.1144) [2 per cell]
O (0.4524, 0.2401, 0.4918) [2 per cell]